[1]
## Nb2Al4Fe (PBE)

Data for a relaxed structure of Nb2Al4Fe.

Structure (POSCAR):
```
Nb2Al4Fe
1.0
-3.472 -1.495 2.147
2.397 -3.246 1.617
1.069 1.426 7.124
Al Nb Fe
4 2 1
Cartesian
1.198 -1.623 0.808
-1.736 -0.747 1.073
-0.511 -3.408 5.604
0.505 0.094 5.284
-0.131 -1.410 3.207
0.125 -1.904 7.680
0.000 0.000 0.000
```

Formation energy: 37.91 kJ per mole of atoms
M_tot: 0.3228 μB/atom
Theoretical density: 4.61 g cm⁻³

[2]
## Li2MnBi2 (PBE)

Data for a relaxed structure of Li2MnBi2.

Structure (POSCAR):
```
Li2MnBi2
1.0
7.032 0.000 0.000
0.000 7.032 0.000
0.000 0.000 4.400
Li Mn Bi
4 2 4
Cartesian
5.944 2.429 2.200
1.087 4.603 2.200
2.429 1.087 2.200
4.603 5.944 2.200
3.516 3.516 0.000
0.000 0.000 0.000
4.631 1.116 0.000
2.400 5.916 0.000
5.916 4.631 0.000
1.116 2.400 0.000
```

Formation energy: 15.44 kJ per mole of atoms
M_tot: 0.0040 μB/atom
Theoretical density: 7.43 g cm⁻³

[3]
## Rb2YScCl6 (PBE)

Data for a relaxed structure of Rb2YScCl6.

Structure (POSCAR):
```
Rb2YScCl6
1.0
7.453 0.000 0.000
0.000 7.453 0.000
3.726 3.726 5.263
Cl Rb Sc Y
6 2 1 1
Cartesian
7.453 7.453 2.679
5.556 5.556 0.000
5.556 1.897 0.000
3.726 3.726 2.584
1.897 1.897 0.000
1.897 5.556 0.000
7.453 3.726 2.632
3.726 7.453 2.632
3.726 3.726 0.000
0.000 0.000 0.000
```

Raw formation energy: -1884 meV/atom
M_tot: 0.1907 μB/atom
Theoretical density: 2.94 g cm⁻³

[4]
## K2ScRu (PBE)

Data for a relaxed structure of K2ScRu.

Structure (POSCAR):
```
K2ScRu
1.0
7.405 -0.130 -0.002
3.986 6.242 0.002
-4.731 -4.855 2.984
Sc Ru K
1 1 2
Cartesian
3.200 -1.493 1.491
6.093 3.269 0.000
3.107 2.560 1.493
11.348 6.089 0.000
```

Formation energy: 50.73 kJ per mole of atoms
M_tot: 0.0000 μB/atom
Theoretical density: 2.67 g cm⁻³

[5]
## DyMg2Sn (PBE)

Data for a relaxed structure of DyMg2Sn.

Structure (POSCAR):
```
DyMg2Sn
1.0
4.753 0.000 0.000
0.000 4.497 0.000
0.000 0.000 4.497
Sn Mg Dy
1 2 1
Cartesian
2.377 0.000 0.000
0.000 2.249 0.000
0.000 0.000 2.249
2.377 2.249 2.249
```

Formation energy: -40.34 kJ per mole of atoms
M_tot: 0.0000 μB/atom
Theoretical density: 5.70 g cm⁻³

[6]
## MgMn2Rh3 (PBE)

Data for a relaxed structure of MgMn2Rh3.

Structure (POSCAR):
```
MgMn2Rh3
1.0
-2.176 1.949 -0.807
0.167 -0.996 -2.857
-6.480 -6.460 1.872
Rh Mg Mn
3 1 2
Cartesian
0.000 0.000 0.000
-2.074 -2.068 0.599
-4.406 -4.392 1.273
-4.244 -2.753 -0.896
-2.065 -0.581 -1.525
-6.423 -4.925 -0.266
```

Formation energy: -28.10 kJ per mole of atoms
M_tot: 1.2637 μB/atom
Theoretical density: 8.57 g cm⁻³

[7]
## ErTm8Ir6 (PBE)

Data for a relaxed structure of ErTm8Ir6.

Structure (POSCAR):
```
ErTm8Ir6
1.0
-4.617 5.401 -2.600
-5.281 -2.437 -4.840
-7.010 -0.218 2.840
Ir Er Tm
6 1 8
Cartesian
-10.890 2.412 -0.247
-7.391 -0.803 0.017
-10.534 -0.936 -3.554
-9.517 3.548 -4.617
-6.374 3.681 -1.047
-6.018 0.333 -4.353
0.000 0.000 0.000
-8.802 0.776 -5.110
-9.154 4.137 -1.812
-6.733 3.091 -3.868
-11.267 1.829 -3.066
-10.175 -0.346 -0.733
-8.106 1.969 0.509
-5.641 0.916 -1.535
-7.754 -1.392 -2.789
```

Formation energy: -82.99 kJ per mole of atoms
M_tot: 0.0000 μB/atom
Theoretical density: 12.96 g cm⁻³

[8]
## Li2CaAc2Si2 (PBE)

Data for a relaxed structure of Li2CaAc2Si2.

Structure (POSCAR):
```
Li2CaAc2Si2
1.0
4.529 0.000 0.000
2.264 3.922 0.000
2.264 1.307 11.093
Li Si Ac Ca
2 2 2 1
Cartesian
4.529 2.615 9.657
4.529 2.615 1.436
2.264 1.307 1.896
6.793 3.922 9.197
6.793 3.922 3.729
2.264 1.307 7.364
0.000 0.000 0.000
```

Raw formation energy: -334 meV/atom
M_tot: 0.0511 μB/atom
Theoretical density: 4.75 g cm⁻³

[9]
## SrOsRu (PBE)

Data for a relaxed structure of SrOsRu.

Structure (POSCAR):
```
SrOsRu
1.0
4.588 0.000 0.000
0.000 4.588 0.000
0.000 0.000 6.761
Sr Ru Os
2 2 2
Cartesian
2.294 0.000 1.031
0.000 2.294 5.730
0.000 0.000 3.381
2.294 2.294 3.381
0.000 2.294 2.424
2.294 0.000 4.337
```

Formation energy: 31.07 kJ per mole of atoms
M_tot: 0.0000 μB/atom
Theoretical density: 8.84 g cm⁻³

[10]
## TiZnTe2N (PBE)

Data for a relaxed structure of TiZnTe2N.

Structure (POSCAR):
```
TiZnTe2N
1.0
-2.966 -3.711 -2.783
4.583 -1.832 -2.441
0.472 -2.385 2.677
Zn Ti N Te
1 1 1 2
Cartesian
0.000 0.000 0.000
1.044 -3.964 -1.273
0.236 -1.193 1.338
-1.483 -1.855 -1.392
2.291 -0.916 -1.220
```

Raw formation energy: 717 meV/atom
M_tot: 0.5938 μB/atom
Theoretical density: 5.79 g cm⁻³

[11]
## HoThTlTe (PBE)

Data for a relaxed structure of HoThTlTe.

Structure (POSCAR):
```
HoThTlTe
1.0
-3.516 1.460 -3.874
-3.678 -3.562 -1.811
-5.252 0.667 1.211
Te Th Ho Tl
1 1 1 1
Cartesian
0.000 0.000 0.000
-3.111 -0.359 -1.119
-9.334 -1.076 -3.356
-6.223 -0.718 -2.237
```

Raw formation energy: -519 meV/atom
M_tot: 0.0000 μB/atom
Theoretical density: 10.69 g cm⁻³

[12]
## LiAgSe2 (PBE)

Data for a relaxed structure of LiAgSe2.

Structure (POSCAR):
```
LiAgSe2
1.0
4.290 0.000 0.000
2.145 3.715 0.000
2.145 1.238 5.387
Se Ag Li
2 1 1
Cartesian
2.145 1.238 3.839
2.145 1.238 1.317
4.290 2.477 0.018
4.290 2.477 2.907
```

Raw formation energy: -416 meV/atom
M_tot: 0.0000 μB/atom
Theoretical density: 5.28 g cm⁻³

[13]
## La3Nd2Y6Tm (PBE)

Data for a relaxed structure of La3Nd2Y6Tm.

Structure (POSCAR):
```
La3Nd2Y6Tm
1.0
6.290 -0.001 0.004
-3.145 5.448 0.004
-1.055 -1.827 11.743
La Nd Tm Y
3 2 1 6
Cartesian
1.045 1.810 5.876
-2.094 3.623 5.876
4.184 -0.003 5.876
3.142 1.818 0.004
0.004 3.629 0.004
0.000 0.000 0.000
3.138 1.813 8.854
-0.007 -0.012 8.844
2.089 -0.005 2.898
0.002 3.624 8.854
-1.048 1.807 2.898
2.098 3.632 2.907
```

Formation energy: 1.30 kJ per mole of atoms
M_tot: 0.0000 μB/atom
Theoretical density: 5.81 g cm⁻³

[14]
## TlIn2Br (PBE)

Data for a relaxed structure of TlIn2Br.

Structure (POSCAR):
```
TlIn2Br
1.0
0.000 3.913 3.913
3.913 0.000 3.913
3.913 3.913 0.000
In Tl Br
2 1 1
Cartesian
1.957 1.957 1.957
5.870 5.870 5.870
3.913 3.913 3.913
0.000 0.000 0.000
```

Raw formation energy: -81 meV/atom
M_tot: 0.0000 μB/atom
Theoretical density: 7.12 g cm⁻³

[15]
## ScInReMo2 (PBE)

Data for a relaxed structure of ScInReMo2.

Structure (POSCAR):
```
ScInReMo2
1.0
-4.707 -0.739 0.169
0.708 -4.787 -1.238
0.345 -1.143 4.616
Mo Re In Sc
2 1 1 1
Cartesian
-2.354 -0.370 0.084
0.172 -0.571 2.308
0.000 0.000 0.000
-1.827 -3.335 1.773
0.354 -2.394 -0.619
```

Formation energy: 95.44 kJ per mole of atoms
M_tot: 0.0000 μB/atom
Theoretical density: 7.87 g cm⁻³

[16]
## Dy4ErAl (PBE)

Data for a relaxed structure of Dy4ErAl.

Structure (POSCAR):
```
Dy4ErAl
1.0
-0.452 1.400 3.195
-2.137 -2.658 0.863
10.962 -7.274 4.736
Dy Er Al
4 1 1
Cartesian
3.978 -2.640 1.719
6.983 -4.634 3.017
0.665 -1.929 2.876
7.708 -6.602 5.919
0.000 0.000 0.000
4.187 -4.266 4.397
```

Formation energy: -11.50 kJ per mole of atoms
M_tot: 0.0000 μB/atom
Theoretical density: 8.10 g cm⁻³

[17]
## Ho3ThAl (PBE)

Data for a relaxed structure of Ho3ThAl.

Structure (POSCAR):
```
Ho3ThAl
1.0
5.910 0.000 0.000
0.000 8.824 2.117
0.000 1.131 11.026
Al Ho Th
4 12 4
Cartesian
1.756 3.158 5.332
4.711 6.232 2.298
4.155 6.797 7.811
1.199 3.723 10.845
0.570 7.110 10.710
0.620 1.874 8.171
5.040 4.738 5.124
2.335 1.308 2.658
5.290 8.081 4.972
0.870 5.217 8.020
5.340 2.845 2.433
3.575 8.647 10.486
3.825 5.303 10.637
2.085 4.651 2.507
2.385 6.545 5.197
3.525 3.410 7.946
4.455 1.336 5.438
4.410 1.902 10.951
1.500 8.053 2.193
1.455 8.618 7.706
```

Formation energy: -5.33 kJ per mole of atoms
M_tot: 0.0000 μB/atom
Theoretical density: 8.93 g cm⁻³

[18]
## TaBeP2Cl (PBE)

Data for a relaxed structure of TaBeP2Cl.

Structure (POSCAR):
```
TaBeP2Cl
1.0
4.319 0.000 0.000
0.000 4.319 0.000
0.000 0.000 4.189
Cl P Be Ta
1 2 1 1
Cartesian
0.000 0.000 2.094
2.160 0.000 0.000
0.000 2.160 0.000
0.000 0.000 0.000
2.160 2.160 2.094
```

Raw formation energy: 660 meV/atom
M_tot: 0.0002 μB/atom
Theoretical density: 6.11 g cm⁻³

[19]
## Hf3TiB4 (PBE)

Data for a relaxed structure of Hf3TiB4.

Structure (POSCAR):
```
Hf3TiB4
1.0
3.441 0.000 0.000
0.000 4.909 -0.559
-1.721 -1.734 6.616
B Hf Ti
4 3 1
Cartesian
1.721 3.477 1.265
0.000 1.368 4.602
1.721 1.807 1.455
0.000 -0.302 4.792
1.721 2.900 3.643
0.000 0.274 2.415
0.000 2.454 -0.279
1.721 0.000 0.000
```

Formation energy: -50.16 kJ per mole of atoms
M_tot: 0.0000 μB/atom
Theoretical density: 9.60 g cm⁻³

[20]
## Mn3NiN (PBE)

Data for a relaxed structure of Mn3NiN.

Structure (POSCAR):
```
Mn3NiN
1.0
-3.225 -0.952 -2.930
2.532 -3.235 -1.736
-1.755 -2.919 2.880
Ni Mn N
1 3 1
Cartesian
0.000 0.000 0.000
-0.877 -1.459 1.440
1.266 -1.618 -0.868
-1.612 -0.476 -1.465
-1.224 -3.553 -0.893
```

Raw formation energy: 1633 meV/atom
M_tot: 2.4378 μB/atom
Theoretical density: 4.45 g cm⁻³

[21]
## RbEr2AgBr8 (PBE)

Data for a relaxed structure of RbEr2AgBr8.

Structure (POSCAR):
```
RbEr2AgBr8
1.0
-2.296 -6.504 -2.335
6.372 -3.231 -0.605
-0.603 -2.708 8.104
Br Er Rb Ag
8 2 1 1
Cartesian
0.667 -4.801 2.979
-0.636 -8.470 4.205
4.109 -3.973 0.959
3.777 -5.506 5.524
3.168 -6.373 -1.887
0.305 -6.070 7.051
2.807 -7.642 2.185
-0.303 -6.938 -0.360
1.581 -6.924 4.680
1.892 -5.519 0.484
-0.302 -1.354 4.052
0.000 0.000 0.000
```

Raw formation energy: -1547 meV/atom
M_tot: 0.0000 μB/atom
Theoretical density: 4.38 g cm⁻³

[22]
## CeMnZn8Ga2 (PBE)

Data for a relaxed structure of CeMnZn8Ga2.

Structure (POSCAR):
```
CeMnZn8Ga2
1.0
4.468 -0.162 -0.468
1.918 4.039 -0.468
-0.930 -0.564 11.596
Zn Mn Ga Ce
8 1 2 1
Cartesian
1.225 0.743 10.801
2.023 2.675 1.707
1.332 0.809 3.550
2.149 2.752 8.953
3.306 0.561 1.707
4.231 2.569 -0.141
4.123 2.503 7.110
3.433 0.638 8.953
0.000 0.000 0.000
1.843 1.119 6.943
3.613 2.194 3.717
-0.465 -0.282 5.798
```

Formation energy: -4.89 kJ per mole of atoms
M_tot: 0.3200 μB/atom
Theoretical density: 6.77 g cm⁻³

[23]
## CsK2Li (PBE)

Data for a relaxed structure of CsK2Li.

Structure (POSCAR):
```
CsK2Li
1.0
-0.791 0.747 6.775
-0.510 -5.533 4.026
6.329 -1.641 4.395
K Cs Li
2 1 1
Cartesian
5.868 -1.637 4.340
0.796 -1.603 3.745
2.617 -3.214 7.609
4.589 -4.825 11.492
```

Formation energy: 12.62 kJ per mole of atoms
M_tot: 0.0000 μB/atom
Theoretical density: 1.30 g cm⁻³

[24]
## CrFeSb (PBE)

Data for a relaxed structure of CrFeSb.

Structure (POSCAR):
```
CrFeSb
1.0
-2.146 1.710 1.501
0.654 -2.898 0.978
4.183 2.140 3.543
Cr Sb Fe
1 1 1
Cartesian
0.163 0.083 0.138
1.559 1.592 3.675
0.969 -0.724 2.209
```

Raw formation energy: 537 meV/atom
M_tot: 0.0737 μB/atom
Theoretical density: 7.65 g cm⁻³

[25]
## Rb2Sn2Hg (PBE)

Data for a relaxed structure of Rb2Sn2Hg.

Structure (POSCAR):
```
Rb2Sn2Hg
1.0
7.008 0.000 0.000
0.000 7.008 0.000
3.504 3.504 5.276
Hg Rb Sn
1 2 2
Cartesian
0.000 0.000 0.000
7.008 3.504 2.638
3.504 7.008 2.638
7.008 7.008 3.969
3.504 3.504 1.306
```

Formation energy: -0.05 kJ per mole of atoms
M_tot: 0.0000 μB/atom
Theoretical density: 3.90 g cm⁻³